Entry 1:
NaHf2IrN PBE-GGA relaxed; D(E_F) = 1.07 states/eV/atom; VASP energy = -6.086 eV per atom; symmetry = No. 123; uncorrected formation energy = 154.0 kJ per mole of atoms; magnetic moment = 0.0 μB per cell
1.0
4.8951 0.0000 0.0000
0.0000 4.8951 0.0000
0.0000 0.0000 3.6907
Na Hf Ir N
1 2 1 1
Cartesian
0.0000 0.0000 0.0000
0.0000 2.4476 0.0000
2.4476 0.0000 0.0000
2.4476 2.4476 1.8453
0.0000 0.0000 1.8453

***

Entry 2:
K3CdAu PBE-GGA relaxed; excess energy over the best structure of this formula in the dataset = 129.9 meV/atom; D(E_F) = 1.35 states/eV/atom; VASP energy = -1.536 eV per atom; symmetry = No. 221; magnetic moment = 0.0 μB per cell
1.0
6.3434 0.0000 0.0000
0.0000 6.3434 0.0000
0.0000 0.0000 6.3434
K Cd Au
3 1 1
Cartesian
0.0000 0.0000 3.1717
0.0000 3.1717 0.0000
3.1717 0.0000 0.0000
3.1717 3.1717 3.1717
0.0000 0.0000 0.0000

***

Entry 3:
VCuSnPb2 PBE-GGA relaxed; D(E_F) = 1.46 states/eV/atom; VASP energy = -4.143 eV per atom; symmetry = No. 123; magnetic moment = 0.1 μB per cell
1.0
5.1674 0.0000 0.0000
0.0000 5.1674 0.0000
0.0000 0.0000 4.8237
V Cu Sn Pb
1 1 1 2
Cartesian
0.0000 0.0000 0.0000
0.0000 0.0000 2.4119
2.5837 2.5837 0.0000
0.0000 2.5837 2.4119
2.5837 0.0000 2.4119

***

Entry 4:
Dy5ZnTe2 PBE-GGA relaxed; D(E_F) = 1.28 states/eV/atom; VASP energy = -4.302 eV per atom; symmetry = No. 63; uncorrected formation energy = -46.5 kJ per mole of atoms; magnetic moment = 0.0 μB per cell
1.0
2.9778 -6.3014 0.0000
2.9778 6.3014 0.0000
0.0000 0.0000 12.9470
Dy Zn Te
10 2 4
Cartesian
2.9778 5.6078 7.9401
2.9778 5.6078 11.4805
2.9778 1.6139 3.2368
2.9778 1.4776 7.3326
2.9778 1.4776 12.0879
2.9778 -1.4776 0.8591
2.9778 -1.4776 5.6144
2.9778 -1.6139 9.7103
2.9778 -5.6078 1.4666
2.9778 -5.6078 5.0069
2.9778 3.2497 9.7103
2.9778 -3.2497 3.2368
2.9778 3.9239 1.1615
2.9778 3.9239 5.3120
2.9778 -3.9239 7.6350
2.9778 -3.9239 11.7855

***

Entry 5:
Ba3LiIn PBE-GGA relaxed; excess energy over the best structure of this formula in the dataset = 0.0 meV/atom; D(E_F) = 1.21 states/eV/atom; VASP energy = -2.260 eV per atom; symmetry = No. 63; magnetic moment = 0.0 μB per cell
1.0
3.0439 -12.0106 0.0000
3.0439 12.0106 0.0000
0.0000 0.0000 6.0853
Ba Li In
6 2 2
Cartesian
3.0439 10.2514 4.5640
3.0439 6.0245 4.5640
3.0439 1.8163 4.5640
3.0439 -1.8163 1.5213
3.0439 -6.0245 1.5213
3.0439 -10.2514 1.5213
3.0439 3.8953 1.5213
3.0439 -3.8953 4.5640
3.0439 8.2076 1.5213
3.0439 -8.2076 4.5640

***

Entry 6:
CoIrOs2 PBE-GGA relaxed; excess energy over the best structure of this formula in the dataset = 0.0 meV/atom; D(E_F) = 1.24 states/eV/atom; VASP energy = -9.515 eV per atom; symmetry = No. 25; magnetic moment = 0.8 μB per cell
1.0
2.6969 0.0000 0.0000
0.0000 3.7659 0.0000
0.0000 0.0000 5.3383
Co Ir Os
1 1 2
Cartesian
0.0000 0.0000 0.0000
1.3484 1.8830 1.2976
0.0000 0.0000 2.7135
1.3484 1.8830 4.0501

***

Entry 7:
Er3AlSi2Pd9 PBE-GGA relaxed; D(E_F) = 0.40 states/eV/atom; VASP energy = -5.650 eV per atom; symmetry = No. 164; uncorrected formation energy = -62.6 kJ per mole of atoms; magnetic moment = 0.0 μB per cell
1.0
6.2571 0.0000 0.0000
-3.1286 5.4188 0.0000
0.0000 0.0000 8.9466
Er Al Si Pd
3 1 2 9
Cartesian
0.0000 0.0000 0.0000
0.0000 3.6125 6.4323
3.1286 1.8063 2.5143
0.0000 0.0000 4.4733
0.0000 3.6125 1.5617
3.1286 1.8063 7.3849
-1.5643 2.7094 0.0000
0.0000 1.5703 2.5294
-1.7686 4.6337 2.5294
1.3599 0.7852 6.4173
3.1286 0.0000 0.0000
1.5643 2.7094 0.0000
1.7686 4.6337 2.5294
4.8972 0.7852 6.4173
3.1286 3.8485 6.4173

***

Entry 8:
YMgZn2 PBE-GGA relaxed; D(E_F) = 0.45 states/eV/atom; VASP energy = -2.804 eV per atom; symmetry = No. 216; magnetic moment = 0.0 μB per cell
1.0
0.0000 3.3985 3.3985
3.3985 0.0000 3.3985
3.3985 3.3985 0.0000
Y Mg Zn
1 1 2
Cartesian
0.0000 0.0000 0.0000
5.0977 5.0977 5.0977
1.6992 1.6992 1.6992
3.3985 3.3985 3.3985

***

Entry 9:
Sm2Ga3Os PBE-GGA relaxed; D(E_F) = 0.76 states/eV/atom; VASP energy = -5.416 eV per atom; symmetry = No. 166; magnetic moment = 0.0 μB per cell
1.0
2.7732 1.6011 4.3876
-2.7732 1.6011 4.3876
0.0000 -3.2022 4.3876
Sm Ga Os
2 3 1
Cartesian
0.0000 0.0000 1.6656
0.0000 0.0000 11.4971
-1.3866 -0.8006 4.3876
-1.3866 0.8006 8.7751
0.0000 1.6011 4.3876
0.0000 0.0000 6.5814

***

Entry 10:
Cr2RuPb PBE-GGA relaxed; D(E_F) = 0.93 states/eV/atom; VASP energy = -7.550 eV per atom; symmetry = No. 123; magnetic moment = 5.8 μB per cell
1.0
3.0435 0.0000 0.0000
0.0000 3.0435 0.0000
0.0000 0.0000 7.5160
Cr Ru Pb
2 1 1
Cartesian
0.0000 0.0000 1.5172
0.0000 0.0000 5.9989
1.5217 1.5217 0.0000
1.5217 1.5217 3.7580

***

Entry 11:
CdInHg2Bi PBE-GGA relaxed; D(E_F) = 0.21 states/eV/atom; VASP energy = -1.591 eV per atom; symmetry = No. 11; magnetic moment = 0.0 μB per cell
1.0
7.4852 0.0000 0.0000
0.0000 4.9269 0.0000
-1.1955 0.0000 8.1495
Cd In Hg Bi
2 2 4 2
Cartesian
1.5137 1.2317 0.5345
4.7760 3.6952 7.6150
0.8619 1.2317 4.0183
5.4278 3.6952 4.1312
2.3831 3.6952 5.1647
3.5112 3.6952 1.1031
2.7785 1.2317 7.0464
3.9065 1.2317 2.9848
0.2417 3.6952 1.9560
6.0479 1.2317 6.1934

***

Entry 12:
Ho7GaS5 PBE-GGA relaxed; D(E_F) = 0.49 states/eV/atom; VASP energy = -5.927 eV per atom; symmetry = No. 11; uncorrected formation energy = -158.4 kJ per mole of atoms; magnetic moment = 0.0 μB per cell
1.0
3.8763 0.0000 0.0000
0.0000 23.1779 0.0000
-1.9292 0.0000 6.4297
Ho Ga S
14 2 10
Cartesian
0.0001 5.7945 0.3280
0.0019 12.4184 1.7668
0.0019 22.3484 1.7668
0.0051 4.0883 4.0782
0.0051 7.5007 4.0782
0.0087 14.1817 5.2433
0.0087 20.5851 5.2433
1.9384 2.5927 1.1863
1.9384 8.9962 1.1863
1.9420 15.6772 2.3515
1.9420 19.0896 2.3515
1.9452 0.8295 4.6629
1.9452 10.7594 4.6629
1.9470 17.3834 6.1017
0.0028 17.3834 3.9119
1.9443 5.7945 2.5178
0.0006 14.8493 0.6125
0.0006 19.9175 0.6125
0.0044 1.6490 2.9067
0.0044 9.9400 2.9067
1.9382 0.0000 0.0000
1.9382 11.5889 0.0000
1.9428 13.2379 3.5230
1.9428 21.5289 3.5230
1.9465 3.2604 5.8171
1.9465 8.3285 5.8171

***

Q: What is the formula in the fourth record?
A: Dy5ZnTe2

***

Q: magnetic moment of number 9 (Sm2Ga3Os)?
A: 0.0 μB per cell

***

Q: What is the formula in the sixth record?
A: CoIrOs2